Record 1
This record from Alexandria via LeMat-Bulk describes crystalline Mg2TeIr at its relaxed geometry. The functional is PBE-GGA.

Summary:
Volume ... 20.27 Å³/atom
ΔE_f (raw) ... -34 meV/atom
Crystal system ... tetragonal
Calculated total energy ... -3.832 eV per atom

Unit cell a=3.6479 b=3.6479 c=6.0922 alpha=90.00 beta=90.00 gamma=90.00
Space group P4mm (No. 99)
One atom of each set of equivalent atoms:
Mg 0.0000 0.0000 0.0000
Mg 0.5000 0.5000 0.2815
Te 0.0000 0.0000 0.5295
Ir 0.5000 0.5000 0.8471

Record 2
This record from Alexandria via LeMat-Bulk describes crystalline MgTeIr2 at its relaxed geometry. The functional is PBE-GGA.

Summary:
Volume ... 16.97 Å³/atom
ΔE_f (raw) ... 36 meV/atom
E above lowest polymorph ... 0.058 eV per atom
Crystal system ... orthorhombic
Calculated total energy ... -5.578 eV per atom

Unit cell a=6.0444 b=7.1182 c=3.1558 alpha=90.00 beta=90.00 gamma=90.00
Space group Cmmm (No. 65)
One atom of each set of equivalent atoms:
Mg 0.0000 0.0000 0.0000
Te 0.0000 0.5000 0.0000
Ir 0.2500 0.2500 0.5000

Record 3
This record from Alexandria via LeMat-Bulk describes crystalline MgTlTeIr2 at its relaxed geometry. The functional is PBE-GGA.

Summary:
Volume ... 22.85 Å³/atom
ΔE_f (raw) ... 1231 meV/atom
Crystal system ... tetragonal
Calculated total energy ... -3.734 eV per atom

Unit cell a=4.7910 b=4.7910 c=4.9766 alpha=90.00 beta=90.00 gamma=90.00
Space group P4/mmm (No. 123)
One atom of each set of equivalent atoms:
Mg 0.0000 0.0000 0.0000
Tl 0.0000 0.0000 0.5000
Te 0.5000 0.5000 0.5000
Ir 0.0000 0.5000 0.0000

Record 4
This record from Alexandria via LeMat-Bulk describes crystalline MgZrTeIr2 at its relaxed geometry. The functional is PBE-GGA.

Summary:
Volume ... 21.11 Å³/atom
ΔE_f (raw) ... 1027 meV/atom
Crystal system ... tetragonal
Calculated total energy ... -5.175 eV per atom

Unit cell a=4.5472 b=4.5472 c=5.1047 alpha=90.00 beta=90.00 gamma=90.00
Space group P4/mmm (No. 123)
One atom of each set of equivalent atoms:
Mg 0.0000 0.0000 0.0000
Zr 0.0000 0.0000 0.5000
Te 0.5000 0.5000 0.5000
Ir 0.0000 0.5000 0.0000

Record 5
This record from Alexandria via LeMat-Bulk describes crystalline Th3MgIr8 at its relaxed geometry. The functional is PBE-GGA.

Summary:
Volume ... 18.67 Å³/atom
Crystal system ... trigonal
Calculated total energy ... -8.606 eV per atom
Formation enthalpy at 0 K ... -0.711 eV/atom

Unit cell a=5.4108 b=5.4108 c=26.5132 alpha=90.00 beta=90.00 gamma=120.00
Space group R3m (No. 160, hexagonal axes)
One atom of each set of equivalent atoms:
Th 0.0000 0.0000 0.0000
Th 0.0000 0.0000 0.1277
Th 0.0000 0.0000 0.6171
Mg 0.0000 0.0000 0.4937
Ir 0.0000 0.0000 0.3111
Ir 0.0000 0.0000 0.8114
Ir 0.0011 0.5005 0.0616
Ir 0.0020 0.5010 0.5603

Record 6
This record from Alexandria via LeMat-Bulk describes crystalline ThMgIr at its relaxed geometry. The functional is PBE-GGA.

Summary:
Volume ... 22.88 Å³/atom
Crystal system ... orthorhombic
Calculated total energy ... -6.588 eV per atom
Formation enthalpy at 0 K ... -0.629 eV/atom

Unit cell a=13.1972 b=4.0795 c=7.6500 alpha=90.00 beta=90.00 gamma=90.00
Space group Pmma (No. 51)
One atom of each set of equivalent atoms:
Th 0.0467 0.0000 0.2202
Th 0.2500 0.0000 0.8406
Mg 0.1302 0.5000 0.5536
Mg 0.2500 0.5000 0.1925
Ir 0.0992 0.5000 0.9195
Ir 0.2500 0.0000 0.4197